# 1
First-principles (PBE-GGA) data for a geometry-optimized NbTe2As structure, as listed in Alexandria via LeMat-Bulk.

Cell: 9.739 9.739 9.739 Å, 21.07 21.07 21.07°
Atoms (fractional coordinates):
1 Nb 0.000 0.000 0.000
2 Te 0.400 0.400 0.400
3 Te 0.600 0.600 0.600
4 As 0.500 0.500 0.500

symmetry: R-3m (166)
formation energy without anion corrections: -8 meV per atom



# 2
First-principles (PBE-GGA) data for a geometry-optimized Mg3GeF structure, as listed in Alexandria via LeMat-Bulk.

Cell: 4.450 4.450 4.450 Å, 90.00 90.00 90.00°
Atoms (fractional coordinates):
1 Mg 0.000 0.000 0.500
2 Mg 0.000 0.500 0.000
3 Mg 0.500 0.000 0.000
4 Ge 0.500 0.500 0.500
5 F 0.000 0.000 0.000

symmetry: Pm-3m (221)
formation energy without anion corrections: -815 meV per atom
relative energy among the computed polymorphs: 0.0 meV/atom



# 3
First-principles (PBE-GGA) data for a geometry-optimized Li2PuO4 structure, as listed in Alexandria via LeMat-Bulk.

Cell: 6.163 6.163 6.163 Å, 120.56 112.38 96.36°
Atoms (fractional coordinates):
1 Li 0.000 0.000 0.500
2 Li 0.000 0.500 0.000
3 Li 0.379 0.129 0.250
4 Li 0.621 0.871 0.750
5 Pu 0.000 0.500 0.500
6 Pu 0.500 0.500 0.000
7 O 0.217 0.731 0.486
8 O 0.250 0.279 0.529
9 O 0.250 0.720 0.971
10 O 0.256 0.269 0.986
11 O 0.744 0.731 0.014
12 O 0.750 0.280 0.029
13 O 0.750 0.721 0.471
14 O 0.783 0.269 0.514

symmetry: Imma (74)
formation energy without anion corrections: -2390 meV per atom
relative energy among the computed polymorphs: 3.7 meV/atom



# 4
First-principles (PBE-GGA) data for a geometry-optimized PrGe12Ru4 structure, as listed in Alexandria via LeMat-Bulk.

Cell: 7.543 7.543 7.543 Å, 109.47 109.47 109.47°
Atoms (fractional coordinates):
1 Pr 0.000 0.000 0.000
2 Ge 0.157 0.501 0.344
3 Ge 0.157 0.813 0.656
4 Ge 0.187 0.344 0.843
5 Ge 0.344 0.157 0.501
6 Ge 0.344 0.843 0.187
7 Ge 0.499 0.656 0.843
8 Ge 0.501 0.344 0.157
9 Ge 0.656 0.157 0.813
10 Ge 0.656 0.843 0.499
11 Ge 0.813 0.656 0.157
12 Ge 0.843 0.187 0.344
13 Ge 0.843 0.499 0.656
14 Ru 0.000 0.000 0.500
15 Ru 0.000 0.500 0.000
16 Ru 0.500 0.000 0.000
17 Ru 0.500 0.500 0.500

symmetry: Im-3 (204)
ΔE_f: -3.91 kJ/mol of atoms



# 5
First-principles (PBE-GGA) data for a geometry-optimized Pr4Dy15Er structure, as listed in Alexandria via LeMat-Bulk.

Cell: 5.062 5.062 25.207 Å, 90.00 90.00 90.00°
Atoms (fractional coordinates):
1 Pr 0.000 0.000 0.100
2 Pr 0.000 0.000 0.301
3 Pr 0.000 0.000 0.699
4 Pr 0.000 0.000 0.900
5 Dy 0.000 0.500 0.000
6 Dy 0.000 0.500 0.201
7 Dy 0.000 0.500 0.402
8 Dy 0.000 0.500 0.598
9 Dy 0.000 0.500 0.799
10 Dy 0.500 0.000 0.000
11 Dy 0.500 0.000 0.201
12 Dy 0.500 0.000 0.402
13 Dy 0.500 0.000 0.598
14 Dy 0.500 0.000 0.799
15 Dy 0.500 0.500 0.100
16 Dy 0.500 0.500 0.302
17 Dy 0.500 0.500 0.500
18 Dy 0.500 0.500 0.698
19 Dy 0.500 0.500 0.900
20 Er 0.000 0.000 0.500

symmetry: P4/mmm (123)
ΔE_f: 1.99 kJ/mol of atoms



# 6
First-principles (PBE-GGA) data for a geometry-optimized MoAsAu2 structure, as listed in Alexandria via LeMat-Bulk.

Cell: 9.392 9.392 9.392 Å, 18.19 18.19 18.19°
Atoms (fractional coordinates):
1 Mo 0.000 0.000 0.000
2 As 0.500 0.500 0.500
3 Au 0.252 0.252 0.252
4 Au 0.748 0.748 0.748

symmetry: R-3m (166)
ΔE_f: 30.35 kJ/mol of atoms



no.,density of states at the Fermi level (states/eV/cell),DFT total energy (eV/atom)
1,2.41,-5.258
2,1.06,-3.069
3,3.49,-7.818
4,11.34,-5.764
5,26.54,-4.615
6,2.15,-5.194